A geometry-optimized SrCa2Rh2 structure. Source: Alexandria via LeMat-Bulk, functional PBE-GGA.

It has space group C2/c (No. 15), with a = 13.073 Å, b = 6.237 Å, c = 8.135 Å, α = 90.00°, β = 123.36° and γ = 90.00°. The distinct sites, in fractional coordinates, are Sr at (0.000, 0.139, 0.250), Ca at (0.209, 0.402, 0.798) and Rh at (0.050, 0.350, 0.943).

The total moment is 0.0000 μB/atom. The value obtained for the formation enthalpy at 0 K is -231 meV/atom.